# 1
# LaPrGeAu, optimized geometry, DFT PBE
# - Formation energy from the elements: -18.5 kcal/mol of atoms
# - Distance to the lowest polymorph of the same formula: 0.0000 eV/atom
# - Calculated total energy: -5.20 eV per atom
# - Volume: 219.1 Å³ per cell
data_LaPrGeAu
_chemical_formula_sum 'La2 Pr2 Ge2 Au2'
_symmetry_space_group_name_H-M 'A m m 2'
_symmetry_Int_Tables_number 38
_cell_length_a 4.480
_cell_length_b 4.269
_cell_length_c 11.455
_cell_angle_alpha 90.00
_cell_angle_beta 90.00
_cell_angle_gamma 90.00
loop_
_symmetry_equiv_pos_as_xyz
'x,y,z'
'-x,-y,z'
'-x,y,z'
'x,-y,z'
'x,y+1/2,z+1/2'
'-x,-y+1/2,z+1/2'
'-x,y+1/2,z+1/2'
'x,-y+1/2,z+1/2'
loop_
_atom_site_label
_atom_site_fract_x
_atom_site_fract_y
_atom_site_fract_z
_atom_site_occupancy
La1 0.000 0.000 0.000 1
Pr1 0.500 0.000 0.724 1
Ge1 0.000 0.000 0.275 1
Au1 0.500 0.000 0.439 1

# 2
# ZrIn2Tc, optimized geometry, DFT PBE
# - Formation energy from the elements: 2.8 kcal/mol of atoms
# - Distance to the lowest polymorph of the same formula: 0.1801 eV/atom
# - Calculated total energy: -5.98 eV per atom
# - Volume: 315.2 Å³ per cell
data_ZrIn2Tc
_chemical_formula_sum 'Zr4 In8 Tc4'
_symmetry_space_group_name_H-M 'F -4 3 m'
_symmetry_Int_Tables_number 216
_symmetry_space_group_name_Hall 'F -4 2 3'
_cell_length_a 6.805
_cell_length_b 6.805
_cell_length_c 6.805
_cell_angle_alpha 90.00
_cell_angle_beta 90.00
_cell_angle_gamma 90.00
loop_
_atom_site_label
_atom_site_fract_x
_atom_site_fract_y
_atom_site_fract_z
_atom_site_occupancy
Zr1 0.000 0.000 0.000 1
In1 0.000 0.000 0.500 1
In2 0.250 0.250 0.750 1
Tc1 0.250 0.250 0.250 1

# 3
# ReAgAs, optimized geometry, DFT PBE
# - Formation energy from the elements: 12.3 kcal/mol of atoms
# - Distance to the lowest polymorph of the same formula: 0.1757 eV/atom
# - Calculated total energy: -6.11 eV per atom
# - Volume: 216.5 Å³ per cell
data_ReAgAs
_chemical_formula_sum 'Re4 Ag4 As4'
_symmetry_space_group_name_H-M 'F m m 2'
_symmetry_Int_Tables_number 42
_symmetry_space_group_name_Hall 'F 2 -2'
_cell_length_a 3.025
_cell_length_b 4.806
_cell_length_c 14.889
_cell_angle_alpha 90.00
_cell_angle_beta 90.00
_cell_angle_gamma 90.00
loop_
_atom_site_label
_atom_site_fract_x
_atom_site_fract_y
_atom_site_fract_z
_atom_site_occupancy
Re1 0.000 0.000 0.000 1
Ag1 0.000 0.000 0.335 1
As1 0.000 0.000 0.633 1